# 1
4
Lattice="3.2721 0.0000 0.0000 0.0000 3.2721 0.0000 0.0000 0.0000 4.7201" Properties=species:S:1:pos:R:3 comment="LiBe2As, optimized geometry, DFT PBE" e_tot_ry_per_atom=-0.2457 delta_e_f_ev_per_atom=0.16 rho_g_cm3=3.28 magmom_total_mub_per_fu=0.000 pbc="T T T"
Li 0.0000 0.0000 0.0000
Be 1.6360 1.6360 1.2481
Be 1.6360 1.6360 3.4720
As 0.0000 0.0000 2.3601

# 2
4
Lattice="-1.8184 1.8184 4.5278 1.8184 -1.8184 4.5278 1.8184 1.8184 -4.5278" Properties=species:S:1:pos:R:3 comment="LiBeAs2, optimized geometry, DFT PBE" e_tot_ry_per_atom=-0.2689 delta_e_f_ev_per_atom=0.08 rho_g_cm3=4.60 magmom_total_mub_per_fu=0.000 pbc="T T T"
Li 0.0000 0.0000 0.0000
Be 0.0000 1.8184 2.2639
As 1.8184 0.0000 2.2639
As 0.0000 0.0000 4.5278

# 3
6
Lattice="3.7484 0.0000 0.0000 0.0000 3.7484 0.0000 0.0000 0.0000 6.2181" Properties=species:S:1:pos:R:3 comment="LiBeAs, optimized geometry, DFT PBE" e_tot_ry_per_atom=-0.2879 delta_e_f_ev_per_atom=-0.49 rho_g_cm3=3.45 magmom_total_mub_per_fu=0.000 pbc="T T T"
Li 0.9371 0.9371 0.9535
Li 2.8113 2.8113 5.2646
Be 0.9371 2.8113 3.1091
Be 2.8113 0.9371 3.1091
As 0.9371 0.9371 4.5016
As 2.8113 2.8113 1.7165